VASP calculation (GGA-PBE) on a geometry-optimized MoRu2Se structure.

Lattice parameters (Å, degrees): 2.8737 2.8737 25.3644 90.00 90.00 120.00
Space group R-3m (No. 166, hexagonal axes)
Inequivalent atoms, fractional coordinates:
Mo 0.0000 0.0000 0.0000
Ru 0.0000 0.0000 0.2483
Se 0.0000 0.0000 0.5000

DFT total energy: -96.16 eV per cell
M_tot: 0.00 μB per atom



VASP calculation (GGA-PBE) on a geometry-optimized MoRu2Se structure.

Lattice parameters (Å, degrees): 5.5867 5.5867 10.8904 90.00 90.00 90.00
Space group I-42d (No. 122)
Inequivalent atoms, fractional coordinates:
Mo 0.0000 0.0000 0.0000
Ru 0.2469 0.2500 0.6250
Se 0.0000 0.0000 0.5000

DFT total energy: -121.83 eV per cell
M_tot: 0.00 μB per atom



VASP calculation (GGA-PBE) on a geometry-optimized Mo4RuSe structure.

Lattice parameters (Å, degrees): 7.3752 7.3752 7.3752 90.00 90.00 90.00
Space group F-43m (No. 216)
Inequivalent atoms, fractional coordinates:
Mo 0.1244 0.1244 0.3756
Ru 0.0000 0.0000 0.0000
Se 0.2500 0.2500 0.7500

DFT total energy: -208.09 eV per cell
M_tot: 0.00 μB per atom



VASP calculation (GGA-PBE) on a geometry-optimized Mo2RuSe structure.

Lattice parameters (Å, degrees): 3.0858 4.6737 8.8461 90.00 90.00 90.00
Space group Cmmm (No. 65)
Inequivalent atoms, fractional coordinates:
Mo 0.0000 0.0000 0.2425
Ru 0.0000 0.5000 0.0000
Se 0.0000 0.5000 0.5000

DFT total energy: -64.84 eV per cell
M_tot: 0.00 μB per atom



VASP calculation (GGA-PBE) on a geometry-optimized Mo2RuSe structure.

Lattice parameters (Å, degrees): 5.8047 5.8047 10.5115 90.00 90.00 90.00
Space group I-42d (No. 122)
Inequivalent atoms, fractional coordinates:
Mo 0.2402 0.2500 0.1250
Ru 0.0000 0.0000 0.0000
Se 0.0000 0.0000 0.5000

DFT total energy: -124.69 eV per cell
M_tot: 0.00 μB per atom



VASP calculation (GGA-PBE) on a geometry-optimized MoRu2Se structure.

Lattice parameters (Å, degrees): 2.8751 2.8751 25.2120 90.00 90.00 120.00
Space group R3m (No. 160, hexagonal axes)
Inequivalent atoms, fractional coordinates:
Mo 0.0000 0.0000 0.0000
Ru 0.0000 0.0000 0.5032
Ru 0.0000 0.0000 0.7519
Se 0.0000 0.0000 0.2497

DFT total energy: -95.48 eV per cell
M_tot: 0.00 μB per atom